## Y2AlBPt6 (GGA-PBE)

Data for crystalline Y2AlBPt6 at its relaxed geometry.

Cell and atoms, written as POSCAR:
```
Y2AlBPt6
1.0
-2.0880 5.1411 1.2161
-6.1814 -3.0733 2.3791
3.3239 -0.5306 7.9506
Y Al B Pt
4 2 2 12
direct
0.5000 0.7100 0.2857
0.0000 0.2900 0.7857
0.5000 0.7100 0.7143
0.0000 0.2900 0.2143
0.0000 0.6791 0.5000
0.5000 0.3209 0.0000
0.5000 0.1902 0.5000
0.0000 0.8098 0.0000
0.5000 0.1472 0.2552
0.5000 0.1472 0.7448
0.0000 0.8528 0.2448
0.0000 0.8528 0.7552
0.2403 0.9825 0.5000
0.7597 0.9825 0.5000
0.2510 0.4052 0.5000
0.7490 0.4052 0.5000
0.7510 0.5948 0.0000
0.2490 0.5948 0.0000
0.2597 0.0175 0.0000
0.7403 0.0175 0.0000
```

Properties
DOS(E_F) = 6.1 states/eV/cell
SG = No. 59
VASP energy = -6.917 eV/atom

## Ac12La3Tl (GGA-PBE)

Data for crystalline Ac12La3Tl at its relaxed geometry.

Cell and atoms, written as POSCAR:
```
Ac12La3Tl
1.0
-3.9900 -0.0773 3.7793
-2.9292 -3.4102 -3.1622
9.6720 -17.4454 9.8544
Ac La Tl
12 3 1
direct
0.5000 0.5000 0.0000
0.5000 0.5000 0.2471
0.5000 0.5000 0.5000
0.5000 0.5000 0.7529
0.5000 0.0000 0.1212
0.5000 0.0000 0.3732
0.5000 0.0000 0.6268
0.5000 0.0000 0.8788
0.0000 0.5000 0.1212
0.0000 0.5000 0.3732
0.0000 0.5000 0.6268
0.0000 0.5000 0.8788
0.0000 0.0000 0.2471
0.0000 0.0000 0.5000
0.0000 0.0000 0.7529
0.0000 0.0000 0.0000
```

Properties
DOS(E_F) = 23.6 states/eV/cell
SG = No. 123
VASP energy = -4.168 eV/atom

## Dy4HPt2 (GGA-PBE)

Data for crystalline Dy4HPt2 at its relaxed geometry.

Cell and atoms, written as POSCAR:
```
Dy4HPt2
1.0
-0.4478 -0.0229 -4.5937
-0.1852 -4.6116 0.0410
-7.5215 -2.0216 -1.5755
H Pt Dy
1 2 4
direct
0.0000 0.0000 0.0000
0.6261 0.6261 0.7477
0.3739 0.3739 0.2523
0.8136 0.8136 0.3728
0.1864 0.1864 0.6272
0.0000 0.5000 0.0000
0.5000 0.0000 0.0000
```

Properties
DOS(E_F) = 6.2 states/eV/cell
SG = No. 139
VASP energy = -5.634 eV/atom

Copy entry 2 word for word.
## Ac12La3Tl (GGA-PBE)

Data for crystalline Ac12La3Tl at its relaxed geometry.

Cell and atoms, written as POSCAR:
```
Ac12La3Tl
1.0
-3.9900 -0.0773 3.7793
-2.9292 -3.4102 -3.1622
9.6720 -17.4454 9.8544
Ac La Tl
12 3 1
direct
0.5000 0.5000 0.0000
0.5000 0.5000 0.2471
0.5000 0.5000 0.5000
0.5000 0.5000 0.7529
0.5000 0.0000 0.1212
0.5000 0.0000 0.3732
0.5000 0.0000 0.6268
0.5000 0.0000 0.8788
0.0000 0.5000 0.1212
0.0000 0.5000 0.3732
0.0000 0.5000 0.6268
0.0000 0.5000 0.8788
0.0000 0.0000 0.2471
0.0000 0.0000 0.5000
0.0000 0.0000 0.7529
0.0000 0.0000 0.0000
```

Properties
DOS(E_F) = 23.6 states/eV/cell
SG = No. 123
VASP energy = -4.168 eV/atom

- Among the records above, which one has the highest DOS(E_F)?
  Ac12La3Tl

- Which formula does entry 2 have?
  Ac12La3Tl

- What is the DOS(E_F) in the second record?
  23.6 states/eV/cell